Record 1
Pr2NdSm5Sc | GGA-PBE | optimized geometry

abc: 11.3651 11.3651 10.2140
angles: 90.00 90.00 152.26
Sites, in units of the cell vectors:
Pr (0.1174, 0.8826, 0.5070)
Pr (0.1174, 0.8826, 0.9930)
Pr (0.8826, 0.1174, 0.0070)
Pr (0.8826, 0.1174, 0.4930)
Nd (0.3983, 0.6017, 0.7500)
Nd (0.6017, 0.3983, 0.2500)
Sm (0.0016, 0.9984, 0.7500)
Sm (0.2776, 0.7224, 0.5622)
Sm (0.2776, 0.7224, 0.9378)
Sm (0.3737, 0.6263, 0.2500)
Sm (0.5000, 0.5000, 0.0000)
Sm (0.5000, 0.5000, 0.5000)
Sm (0.6263, 0.3737, 0.7500)
Sm (0.7224, 0.2776, 0.0622)
Sm (0.7224, 0.2776, 0.4378)
Sm (0.9984, 0.0016, 0.2500)
Sc (0.2156, 0.7844, 0.2500)
Sc (0.7844, 0.2156, 0.7500)

E = -4.792 eV/atom
E_form = 109 kJ/mol of formula units
Magnetic moment = 0.00 μB per formula unit

Record 2
Pr2Nd4SmSc | GGA-PBE | optimized geometry

abc: 5.1261 5.1425 10.2726
angles: 90.00 90.00 90.00
Sites, in units of the cell vectors:
Pr (0.0000, 0.0000, 0.0000)
Pr (0.5000, 0.5000, 0.5000)
Nd (0.0000, 0.5000, 0.2439)
Nd (0.0000, 0.5000, 0.7561)
Nd (0.5000, 0.0000, 0.2444)
Nd (0.5000, 0.0000, 0.7556)
Sm (0.0000, 0.0000, 0.5000)
Sc (0.5000, 0.5000, 0.0000)

E = -4.932 eV/atom
E_form = 21 kJ/mol of formula units
Magnetic moment = 0.00 μB per formula unit

Record 3
Pr4Nd2SmSc | GGA-PBE | optimized geometry

abc: 5.1401 5.1672 10.2611
angles: 90.00 90.00 90.00
Sites, in units of the cell vectors:
Pr (0.0000, 0.0000, 0.2436)
Pr (0.0000, 0.0000, 0.7564)
Pr (0.5000, 0.5000, 0.2443)
Pr (0.5000, 0.5000, 0.7557)
Nd (0.0000, 0.5000, 0.0000)
Nd (0.5000, 0.0000, 0.5000)
Sm (0.0000, 0.5000, 0.5000)
Sc (0.5000, 0.0000, 0.0000)

E = -4.936 eV/atom
E_form = 21 kJ/mol of formula units
Magnetic moment = 0.00 μB per formula unit

Record 4
PrNdSmSc | GGA-PBE | optimized geometry

abc: 5.6762 5.6762 5.6762
angles: 60.00 60.00 60.00
Sites, in units of the cell vectors:
Pr (0.0000, 0.0000, 0.0000)
Nd (0.5000, 0.5000, 0.5000)
Sm (0.7500, 0.7500, 0.7500)
Sc (0.2500, 0.2500, 0.2500)

E = -5.027 eV/atom
E_form = 47 kJ/mol of formula units
Magnetic moment = 0.00 μB per formula unit

Record 5
PrNd5Sm2Sc | GGA-PBE | optimized geometry

abc: 11.3994 11.3994 10.3155
angles: 90.00 90.00 152.37
Sites, in units of the cell vectors:
Pr (0.1020, 0.8980, 0.5000)
Pr (0.8980, 0.1020, 0.0000)
Nd (0.9999, 0.0001, 0.2501)
Nd (0.0001, 0.9999, 0.7501)
Nd (0.1265, 0.8735, 0.9997)
Nd (0.2221, 0.7779, 0.3105)
Nd (0.2229, 0.7771, 0.6874)
Nd (0.4982, 0.5018, 0.4999)
Nd (0.5018, 0.4982, 0.9999)
Nd (0.7771, 0.2229, 0.1874)
Nd (0.7779, 0.2221, 0.8105)
Nd (0.8735, 0.1265, 0.4997)
Sm (0.3828, 0.6172, 0.2523)
Sm (0.3834, 0.6166, 0.7476)
Sm (0.6166, 0.3834, 0.2476)
Sm (0.6172, 0.3828, 0.7523)
Sc (0.2848, 0.7152, 0.9990)
Sc (0.7152, 0.2848, 0.4990)

E = -4.807 eV/atom
E_form = 108 kJ/mol of formula units
Magnetic moment = 0.00 μB per formula unit

Record 6
Pr5NdSm2Sc | GGA-PBE | optimized geometry

abc: 10.1896 10.1896 10.1896
angles: 128.67 128.67 75.55
Sites, in units of the cell vectors:
Pr (0.0000, 0.0000, 0.0000)
Pr (0.0647, 0.5647, 0.9127)
Pr (0.1520, 0.0647, 0.5000)
Pr (0.3480, 0.8480, 0.9127)
Pr (0.4353, 0.3480, 0.5000)
Pr (0.5000, 0.5000, 0.0000)
Pr (0.5647, 0.6520, 0.5000)
Pr (0.6520, 0.1520, 0.0873)
Pr (0.8480, 0.9353, 0.5000)
Pr (0.9353, 0.4353, 0.0873)
Nd (0.2500, 0.2500, 0.0000)
Nd (0.7500, 0.7500, 0.0000)
Sm (0.1192, 0.3808, 0.5000)
Sm (0.3808, 0.8808, 0.2615)
Sm (0.6192, 0.1192, 0.7385)
Sm (0.8808, 0.6192, 0.5000)
Sc (0.2500, 0.7500, 0.5000)
Sc (0.7500, 0.2500, 0.5000)

E = -4.647 eV/atom
E_form = 252 kJ/mol of formula units
Magnetic moment = 0.00 μB per formula unit

> What is the magnetic moment in the fourth record?

0.00 μB per formula unit

> The highest E belongs to which entry?

Pr5NdSm2Sc